! Cu2WCl | Alexandria | PBE | optimized geometry; values from VASP
! Formation energy (no corrections)   1.33 eV per atom
! Offset from the most stable computed form   1.0363 eV/atom
! Total magnetic moment   2.5 μB per cell
! Space group   Fm-3m (225)
&SYSTEM
  ibrav = 0, nat = 4, ntyp = 3
/
ATOMIC_SPECIES
Cu 63.55 Cu.upf
W 183.84 W.upf
Cl 35.45 Cl.upf
CELL_PARAMETERS angstrom
0.000 3.154 3.154
3.154 0.000 3.154
3.154 3.154 0.000
ATOMIC_POSITIONS crystal
Cu 0.250 0.250 0.250
Cu 0.750 0.750 0.750
W 0.500 0.500 0.500
Cl 0.000 0.000 0.000